VASP calculation (GGA-PBE) on a relaxed structure of ScGeBr.

```
ScGeBr
1.0
3.790 0.000 0.000
1.895 3.275 -0.221
1.895 -0.642 12.020
Sc Ge Br
2 2 2
Cartesian
3.790 0.062 3.611 Sc
3.790 2.571 8.187 Sc
3.790 0.269 6.606 Ge
3.790 2.364 5.193 Ge
1.895 1.037 1.849 Br
5.685 1.596 9.950 Br
```

**Final energy**: -15.8 eV per formula unit
**Formation energy without anion corrections**: -1.05 eV/atom